1.
VASP calculation (GGA-PBEsol) on LaTc2Os after structural relaxation. Values from VASP.

Quantum ESPRESSO input file:
```
&SYSTEM
  ibrav = 0, nat = 4, ntyp = 3
/
ATOMIC_SPECIES
La 138.91 La.upf
Os 190.23 Os.upf
Tc 98.00 Tc.upf
ATOMIC_POSITIONS angstrom
La 2.349 2.349 1.528
Os 0.000 0.000 1.528
Tc 0.000 2.349 0.000
Tc 2.349 0.000 0.000
CELL_PARAMETERS angstrom
4.699 0.000 0.000
0.000 4.699 0.000
0.000 0.000 3.055
```

Properties
SG   P4/mmm
ΔE_f   0.666 eV/atom
Energy relative to the lowest polymorph listed for this composition   0.157 eV/atom
Total magnetization   0.0 μB/cell

2.
VASP calculation (GGA-PBEsol) on LaTc2Os after structural relaxation. Values from VASP.

Quantum ESPRESSO input file:
```
&SYSTEM
  ibrav = 0, nat = 4, ntyp = 3
/
ATOMIC_SPECIES
La 138.91 La.upf
Os 190.23 Os.upf
Tc 98.00 Tc.upf
ATOMIC_POSITIONS angstrom
La 3.882 -3.390 2.787
Os 1.611 -1.672 1.255
Tc 8.638 -2.159 4.213
Tc 6.143 -5.106 4.316
CELL_PARAMETERS angstrom
-0.937 -1.850 1.920
0.046 -2.769 -0.566
8.644 -2.159 4.216
```

Properties
SG   R3m
ΔE_f   0.509 eV/atom
Energy relative to the lowest polymorph listed for this composition   0.000 eV/atom
Total magnetization   0.0 μB/cell

3.
VASP calculation (GGA-PBEsol) on LaYTcOs2 after structural relaxation. Values from VASP.

Quantum ESPRESSO input file:
```
&SYSTEM
  ibrav = 0, nat = 5, ntyp = 4
/
ATOMIC_SPECIES
Y 88.91 Y.upf
Os 190.23 Os.upf
Tc 98.00 Tc.upf
La 138.91 La.upf
ATOMIC_POSITIONS angstrom
Y 0.000 0.000 0.000
Os 2.226 -0.290 -0.744
Os -0.641 -1.962 -1.154
Tc 2.106 -3.663 0.211
La 0.521 -1.411 2.109
CELL_PARAMETERS angstrom
-1.283 -3.925 -2.309
4.453 -0.580 -1.487
1.041 -2.821 4.218
```

Properties
SG   P4/mmm
ΔE_f   2.519 eV/atom
Total magnetization   1.9 μB/cell

Among the records above, which one has the highest total magnetization? LaYTcOs2